# KSrLa2 PBE relaxed
# Total magnetization = 0.004 μB per cell
# Formation energy from the elements = 0.335 eV per atom
data_KSrLa2
_chemical_formula_sum 'K1 Sr1 La2'
_cell_length_a 3.7330
_cell_length_b 3.7330
_cell_length_c 13.2064
_cell_angle_alpha 90.00
_cell_angle_beta 90.00
_cell_angle_gamma 90.00
_symmetry_space_group_name_H-M 'P 4/m m m'
_symmetry_Int_Tables_number 123
_symmetry_space_group_name_Hall '-P 4 2'
loop_
_atom_site_label
_atom_site_type_symbol
_atom_site_fract_x
_atom_site_fract_y
_atom_site_fract_z
K1 K 0.0000 0.0000 0.0000
Sr1 Sr 0.0000 0.0000 0.5000
La1 La 0.5000 0.5000 0.2672

# KSr2La3Te6 PBE relaxed
# Total magnetization = 0.000 μB per cell
# ΔE_f (raw) = -152.30 kJ/mol of atoms
data_KSr2La3Te6
_chemical_formula_sum 'K2 Sr4 La6 Te12'
_cell_length_a 20.5697
_cell_length_b 4.6375
_cell_length_c 9.4871
_cell_angle_alpha 90.00
_cell_angle_beta 104.77
_cell_angle_gamma 90.00
_symmetry_space_group_name_H-M 'C 1 2/m 1'
_symmetry_Int_Tables_number 12
loop_
_symmetry_equiv_pos_as_xyz
'x,y,z'
'-x,-y,-z'
'-x,y,-z'
'x,-y,z'
'x+1/2,y+1/2,z'
'-x+1/2,-y+1/2,-z'
'-x+1/2,y+1/2,-z'
'x+1/2,-y+1/2,z'
loop_
_atom_site_label
_atom_site_type_symbol
_atom_site_fract_x
_atom_site_fract_y
_atom_site_fract_z
K1 K 0.0000 0.0000 0.0000
Sr1 Sr 0.1656 0.5000 0.3303
La1 La 0.0000 0.0000 0.5000
La2 La 0.1652 0.5000 0.8314
Te1 Te 0.0017 0.5000 0.7372
Te2 Te 0.1658 0.0000 0.5854
Te3 Te 0.1715 0.0000 0.0793

# K2SrLaZn PBE relaxed
# Total magnetization = 0.000 μB per cell
# Formation energy from the elements = 0.330 eV per atom
data_K2SrLaZn
_chemical_formula_sum 'K2 Sr1 La1 Zn1'
_cell_length_a 6.4355
_cell_length_b 6.4355
_cell_length_c 6.0769
_cell_angle_alpha 90.00
_cell_angle_beta 90.00
_cell_angle_gamma 90.00
_symmetry_space_group_name_H-M 'P 4/m m m'
_symmetry_Int_Tables_number 123
_symmetry_space_group_name_Hall '-P 4 2'
loop_
_atom_site_label
_atom_site_type_symbol
_atom_site_fract_x
_atom_site_fract_y
_atom_site_fract_z
K1 K 0.0000 0.5000 0.0000
Sr1 Sr 0.0000 0.0000 0.5000
La1 La 0.5000 0.5000 0.5000
Zn1 Zn 0.5000 0.5000 0.0000

# KLaTa PBE relaxed
# Total magnetization = 0.000 μB per cell
# Formation energy from the elements = 1.122 eV per atom
data_KLaTa
_chemical_formula_sum 'K2 La2 Ta2'
_cell_length_a 3.8428
_cell_length_b 3.8428
_cell_length_c 14.2671
_cell_angle_alpha 90.00
_cell_angle_beta 90.00
_cell_angle_gamma 90.00
_symmetry_space_group_name_H-M 'I 4 m m'
_symmetry_Int_Tables_number 107
_symmetry_space_group_name_Hall 'I 4 -2'
loop_
_atom_site_label
_atom_site_type_symbol
_atom_site_fract_x
_atom_site_fract_y
_atom_site_fract_z
K1 K 0.0000 0.0000 0.0000
La1 La 0.0000 0.0000 0.2701
Ta1 Ta 0.0000 0.0000 0.6894